Record 1
CrPW | PBE | relaxed

Structure (POSCAR):
```
CrPW
1.0
3.970 0.000 0.000
1.985 3.438 0.000
1.985 1.146 3.241
W Cr P
1 1 1
direct
0.500 0.500 0.500 W
0.750 0.750 0.750 Cr
0.000 0.000 0.000 P
```

DOS(E_F) ... 0.732 states/eV/atom
Crystal system ... cubic
Energy of formation from the pure elements ... 0.0781 eV per atom
Space group ... No. 216
Total DFT energy (no corrections) ... -9.251 eV per atom

***

Record 2
Cr2PW | PBE | relaxed

Structure (POSCAR):
```
Cr2PW
1.0
-2.254 0.133 -1.756
-2.294 -0.559 2.902
-0.269 4.772 0.706
Cr W P
2 1 1
direct
0.500 0.500 0.259 Cr
0.000 0.000 0.005 Cr
0.500 0.500 0.748 W
0.000 0.000 0.487 P
```

DOS(E_F) ... 0.779 states/eV/atom
Crystal system ... orthorhombic
Energy of formation from the pure elements ... 0.1008 eV per atom
Space group ... No. 25
Total DFT energy (no corrections) ... -9.302 eV per atom

***

Record 3
CrPW2 | PBE | relaxed

Structure (POSCAR):
```
CrPW2
1.0
2.800 0.017 0.000
-0.803 2.682 0.000
0.000 0.000 7.557
P Cr W
1 1 2
direct
0.500 0.500 0.729 P
0.000 0.000 0.534 Cr
0.000 0.000 0.974 W
0.500 0.500 0.263 W
```

DOS(E_F) ... 0.551 states/eV/atom
Crystal system ... orthorhombic
Energy of formation from the pure elements ... 0.1157 eV per atom
Space group ... No. 35
Total DFT energy (no corrections) ... -10.119 eV per atom

***

Record 4
CrPW | PBE | relaxed

Structure (POSCAR):
```
CrPW
1.0
-0.407 -0.563 3.007
6.625 -1.450 0.626
2.141 10.782 2.308
Cr W P
6 6 6
direct
0.500 0.531 0.880 Cr
0.500 0.852 0.250 Cr
0.500 0.148 0.750 Cr
0.500 0.469 0.120 Cr
0.500 0.531 0.620 Cr
0.500 0.469 0.380 Cr
0.000 0.233 0.973 W
0.000 0.767 0.473 W
0.000 0.767 0.027 W
0.000 0.231 0.250 W
0.000 0.769 0.750 W
0.000 0.233 0.527 W
0.500 0.928 0.896 P
0.000 0.608 0.250 P
0.500 0.072 0.104 P
0.500 0.928 0.604 P
0.500 0.072 0.396 P
0.000 0.392 0.750 P
```

DOS(E_F) ... 0.768 states/eV/atom
Crystal system ... orthorhombic
Energy of formation from the pure elements ... -0.2182 eV per atom
Space group ... No. 51
Total DFT energy (no corrections) ... -9.547 eV per atom

***

Record 5
CrPW3 | PBE | relaxed

Structure (POSCAR):
```
CrPW3
1.0
-1.293 2.320 3.562
-4.132 -1.560 -0.484
0.998 -3.453 2.611
Cr W P
1 3 1
direct
0.500 0.500 0.500 Cr
0.500 0.000 0.000 W
0.000 0.500 0.000 W
0.000 0.000 0.500 W
0.000 0.000 0.000 P
```

DOS(E_F) ... 0.809 states/eV/atom
Crystal system ... cubic
Energy of formation from the pure elements ... 1.0224 eV per atom
Polymorph energy (0 for the lowest one) ... 0.000 eV/atom
Space group ... No. 221
Total DFT energy (no corrections) ... -9.756 eV per atom

***

Record 6
CrPW2 | PBE | relaxed

Structure (POSCAR):
```
CrPW2
1.0
4.290 0.045 0.000
-0.567 4.252 0.000
0.000 0.000 3.041
W P Cr
2 1 1
direct
0.000 0.000 0.000 W
0.500 0.500 0.000 W
0.000 0.500 0.500 P
0.500 0.000 0.500 Cr
```

DOS(E_F) ... 0.900 states/eV/atom
Crystal system ... orthorhombic
Energy of formation from the pure elements ... 0.1763 eV per atom
Space group ... No. 65
Total DFT energy (no corrections) ... -10.059 eV per atom

***

Record 7
Cr2PW | PBE | relaxed

Structure (POSCAR):
```
Cr2PW
1.0
4.832 0.003 -0.005
2.229 4.288 0.005
-3.190 -2.706 2.420
W Cr P
1 2 1
direct
0.251 0.751 0.500 W
0.745 0.245 0.500 Cr
0.995 0.995 0.000 Cr
0.509 0.509 0.000 P
```

DOS(E_F) ... 0.838 states/eV/atom
Crystal system ... orthorhombic
Energy of formation from the pure elements ... -0.0360 eV per atom
Space group ... No. 44
Total DFT energy (no corrections) ... -9.438 eV per atom

***

Record 8
CrPW | PBE | relaxed

Structure (POSCAR):
```
CrPW
1.0
4.058 0.000 0.000
2.029 3.514 0.000
2.029 1.171 3.313
W Cr P
1 1 1
direct
0.750 0.750 0.750 W
0.000 0.000 0.000 Cr
0.500 0.500 0.500 P
```

DOS(E_F) ... 0.842 states/eV/atom
Crystal system ... cubic
Energy of formation from the pure elements ... 0.4149 eV per atom
Space group ... No. 216
Total DFT energy (no corrections) ... -8.914 eV per atom

***

Please write out number 5 again, unchanged.
CrPW3 | PBE | relaxed

Structure (POSCAR):
```
CrPW3
1.0
-1.293 2.320 3.562
-4.132 -1.560 -0.484
0.998 -3.453 2.611
Cr W P
1 3 1
direct
0.500 0.500 0.500 Cr
0.500 0.000 0.000 W
0.000 0.500 0.000 W
0.000 0.000 0.500 W
0.000 0.000 0.000 P
```

DOS(E_F) ... 0.809 states/eV/atom
Crystal system ... cubic
Energy of formation from the pure elements ... 1.0224 eV per atom
Polymorph energy (0 for the lowest one) ... 0.000 eV/atom
Space group ... No. 221
Total DFT energy (no corrections) ... -9.756 eV per atom